Entry 1:
Computed, not measured: a geometry-optimized SmSc3Sn2 structure at the GGA-PBE level of DFT.

The energy comes out at -66.336 eV per cell. As for the formation enthalpy at 0 K: -0.241 eV/atom. The space-group type is Ibam (72). The calculation puts the calculated density at 5.025 Mg/m³.

Cell lengths 6.9710, 7.0033, 8.6301 Å; angles 113.94, 113.82, 90.00 degrees
Last column: nearest neighbours and their distance in Å.
Positions (direct):
Sm1 0.0000 0.5000 0.0000  2 Sn 3.08
Sm2 0.0000 0.0000 0.0000  2 Sn 3.08
Sc1 0.5000 0.2500 0.0000  4 Sn 2.96
Sc2 0.5000 0.7500 0.0000  4 Sn 2.96
Sc3 0.7898 0.0399 0.5796  4 Sn 2.94-3.02
Sc4 0.2102 0.4601 0.4204  4 Sn 2.94-3.02
Sc5 0.2102 0.9601 0.4204  4 Sn 2.94-3.02
Sc6 0.7898 0.5399 0.5796  4 Sn 2.94-3.02
Sn1 0.5262 0.3546 0.7091  6 Sc 2.94-3.02, 1 Sm 3.08
Sn2 0.8170 0.1454 0.2909  6 Sc 2.94-3.02, 1 Sm 3.08
Sn3 0.1830 0.8546 0.7091  6 Sc 2.94-3.02, 1 Sm 3.08
Sn4 0.4738 0.6454 0.2909  6 Sc 2.94-3.02, 1 Sm 3.08

---

Entry 2:
Computed, not measured: a geometry-optimized Sm2ScSn structure at the GGA-PBE level of DFT.

As for the energy above the most stable polymorph in this dataset: 46 meV per atom. The energy comes out at -21.259 eV per cell. As for the formation enthalpy at 0 K: -0.372 eV/atom. The space-group type is P4/mmm (123). The calculation puts the calculated density at 6.825 Mg/m³.

Cell lengths 4.1829, 4.1829, 6.4577 Å; angles 90.00, 90.00, 90.00 degrees
Last column: nearest neighbours and their distance in Å.
Positions (direct):
Sc1 0.5000 0.5000 0.0000  2 Sn 3.23, 8 Sm 3.41
Sn1 0.5000 0.5000 0.5000  2 Sc 3.23, 8 Sm 3.33
Sm1 0.0000 0.0000 0.7384  2 Sm 3.08-3.38, 4 Sn 3.33, 4 Sc 3.41
Sm2 0.0000 0.0000 0.2616  2 Sm 3.08-3.38, 4 Sn 3.33, 4 Sc 3.41

---

Entry 3:
Computed, not measured: a geometry-optimized SmSc2Sn structure at the GGA-PBE level of DFT.

As for the energy above the most stable polymorph in this dataset: 84 meV per atom. The energy comes out at -45.804 eV per cell. As for the formation enthalpy at 0 K: -0.379 eV/atom. The space-group type is Cmcm (63). The calculation puts the calculated density at 5.463 Mg/m³.

Cell lengths 6.3183, 4.1992, 8.7200 Å; angles 90.00, 90.00, 109.41 degrees
Last column: nearest neighbours and their distance in Å.
Positions (direct):
Sm1 0.3930 0.9463 0.7500  3 Sn 3.25-3.48, 8 Sc 3.51-3.53
Sm2 0.6070 0.0537 0.2500  3 Sn 3.25-3.48, 8 Sc 3.51-3.53
Sc1 0.2288 0.3645 0.4477  3 Sn 2.98-3.04
Sc2 0.7712 0.6355 0.5523  3 Sn 2.98-3.04
Sc3 0.2288 0.3645 0.0523  3 Sn 2.98-3.04
Sc4 0.7712 0.6355 0.9477  3 Sn 2.98-3.04
Sn1 0.0238 0.7621 0.2500  6 Sc 2.98-3.04, 2 Sm 3.25
Sn2 0.9762 0.2379 0.7500  6 Sc 2.98-3.04, 2 Sm 3.25

---

Entry 4:
Computed, not measured: a geometry-optimized Sm2ScSn3 structure at the GGA-PBE level of DFT.

The energy comes out at -31.058 eV per cell. As for the formation enthalpy at 0 K: -0.547 eV/atom. The space-group type is Immm (71). The calculation puts the calculated density at 6.720 Mg/m³.

Cell lengths 5.0534, 6.2159, 6.8209 Å; angles 117.11, 111.74, 90.00 degrees
Last column: nearest neighbours and their distance in Å.
Positions (direct):
Sm1 0.6781 0.1781 0.3562  6 Sn 3.13-3.22
Sm2 0.3219 0.8219 0.6438  6 Sn 3.13-3.22
Sc1 0.0000 0.5000 0.0000  6 Sn 2.97-3.11
Sn1 0.3582 0.3582 0.7164  2 Sc 2.97, 1 Sn 3.13, 4 Sm 3.13-3.22
Sn2 0.0000 0.0000 0.0000  2 Sc 3.11, 4 Sm 3.20
Sn3 0.6418 0.6418 0.2836  2 Sc 2.97, 1 Sn 3.13, 4 Sm 3.13-3.22